Record 1
This record from Alexandria describes ErMn2O5 at its PBEsol-relaxed geometry. The functional is meta-GGA SCAN.

a b c (Å): 7.1241 8.4045 5.6434
angles (deg): 90.00 90.00 90.00
Fractional coordinates of all 32 atoms:
Er  0.1357  0.1715  0.0000
Er  0.3643  0.6715  0.0000
Er  0.6357  0.3285  0.0000
Er  0.8643  0.8285  0.0000
Mn  0.0000  0.5000  0.2527
Mn  0.0000  0.5000  0.7473
Mn  0.0870  0.8489  0.5000
Mn  0.4130  0.3489  0.5000
Mn  0.5000  0.0000  0.2527
Mn  0.5000  0.0000  0.7473
Mn  0.5870  0.6511  0.5000
Mn  0.9130  0.1511  0.5000
O  0.0000  0.0000  0.2694
O  0.0000  0.0000  0.7306
O  0.1070  0.7076  0.2418
O  0.1070  0.7076  0.7582
O  0.1550  0.4332  0.5000
O  0.1670  0.4433  0.0000
O  0.3330  0.9433  0.0000
O  0.3450  0.9332  0.5000
O  0.3930  0.2076  0.2418
O  0.3930  0.2076  0.7582
O  0.5000  0.5000  0.2694
O  0.5000  0.5000  0.7306
O  0.6070  0.7924  0.2418
O  0.6070  0.7924  0.7582
O  0.6550  0.0668  0.5000
O  0.6670  0.0567  0.0000
O  0.8330  0.5567  0.0000
O  0.8450  0.5668  0.5000
O  0.8930  0.2924  0.2418
O  0.8930  0.2924  0.7582

- symmetry = Pbam


Record 2
This record from Alexandria describes ErMnO3 at its PBEsol-relaxed geometry. The functional is meta-GGA SCAN.

a b c (Å): 6.0530 6.0530 11.3195
angles (deg): 90.00 90.00 120.00
Fractional coordinates of all 30 atoms:
Er  0.0000  0.0000  0.0000
Er  0.0000  0.0000  0.5000
Er  0.3333  0.6667  0.0466
Er  0.3333  0.6667  0.5466
Er  0.6667  0.3333  0.0466
Er  0.6667  0.3333  0.5466
Mn  0.0000  0.3336  0.2766
Mn  0.0000  0.6664  0.7766
Mn  0.3336  0.0000  0.2766
Mn  0.3336  0.3336  0.7766
Mn  0.6664  0.0000  0.7766
Mn  0.6664  0.6664  0.2766
O  0.0000  0.0000  0.2997
O  0.0000  0.0000  0.7997
O  0.0000  0.3051  0.1122
O  0.0000  0.3607  0.4408
O  0.0000  0.6393  0.9408
O  0.0000  0.6949  0.6122
O  0.3051  0.0000  0.1122
O  0.3051  0.3051  0.6122
O  0.3333  0.6667  0.2566
O  0.3333  0.6667  0.7566
O  0.3607  0.0000  0.4408
O  0.3607  0.3607  0.9408
O  0.6393  0.0000  0.9408
O  0.6393  0.6393  0.4408
O  0.6667  0.3333  0.2566
O  0.6667  0.3333  0.7566
O  0.6949  0.0000  0.6122
O  0.6949  0.6949  0.1122

- symmetry = P6_3cm


Record 3
This record from Alexandria describes Er2Mn3Sb3O14 at its PBEsol-relaxed geometry. The functional is meta-GGA SCAN.

a b c (Å): 7.0419 7.0419 7.1567
angles (deg): 118.37 118.37 61.92
Fractional coordinates of all 22 atoms:
Er  0.0000  0.5000  0.0000
Er  0.5000  0.0000  0.0000
Mn  0.0000  0.0000  0.0000
Mn  0.0000  0.0000  0.5000
Mn  0.5000  0.5000  0.5000
Sb  0.0000  0.5000  0.5000
Sb  0.5000  0.0000  0.5000
Sb  0.5000  0.5000  0.0000
O  0.1166  0.1166  0.8713
O  0.1669  0.5855  0.8277
O  0.1691  0.1691  0.4396
O  0.1770  0.5666  0.4071
O  0.4042  0.4042  0.1442
O  0.4145  0.8331  0.1723
O  0.4334  0.8230  0.5929
O  0.5666  0.1770  0.4071
O  0.5855  0.1669  0.8277
O  0.5958  0.5958  0.8558
O  0.8230  0.4334  0.5929
O  0.8309  0.8309  0.5604
O  0.8331  0.4145  0.1723
O  0.8834  0.8834  0.1287

- symmetry = C2/m


Number 1: formation energy from raw total energies -2826 meV/atom. Number 2: formation energy from raw total energies -3141 meV/atom. Number 3: formation energy from raw total energies -2311 meV/atom.